Entry 1:
La2CuSi2Ag: relaxed, PBE-GGA.

Structure (POSCAR):
```
La2CuSi2Ag
1.0
-0.341 -4.158 -1.328
0.347 0.914 4.267
-8.148 0.490 0.557
Ag Cu La Si
1 1 2 2
Cartesian
-3.956 -0.532 2.681
0.000 0.000 0.000
-2.100 -2.348 0.674
-6.271 -2.097 0.959
0.118 -0.777 2.402
-4.074 0.245 0.279
```

## Properties
The value obtained for the final energy is -30.71 eV per cell. As for the space group: No. 187.

=====

Entry 2:
LaCuSi2Ag: relaxed, PBE-GGA.

Structure (POSCAR):
```
LaCuSi2Ag
1.0
5.370 2.021 -1.675
2.116 5.094 2.301
-2.469 -5.095 1.917
Ag Cu La Si
1 1 1 2
Cartesian
3.322 0.242 0.278
1.695 1.779 2.266
0.000 0.000 0.000
2.883 2.741 0.241
4.603 4.375 0.385
```

## Properties
The value obtained for the final energy is -24.83 eV per cell. As for the space group: No. 119.

=====

Entry 3:
LaZn3CuAg: relaxed, PBE-GGA.

Structure (POSCAR):
```
LaZn3CuAg
1.0
-4.451 2.894 -0.958
1.310 -1.339 5.059
2.317 3.689 0.376
Ag Cu La Zn
1 1 1 3
Cartesian
0.000 0.000 0.000
-2.531 1.483 1.047
-0.611 0.072 3.053
-0.144 2.608 0.727
-2.304 4.012 0.262
-1.669 3.362 2.717
```

## Properties
As for the formation energy: -0.29 eV per atom. As for the space group: No. 187.

=====

Entry 4:
LiMg2Cu4Ag: relaxed, PBE-GGA.

Structure (POSCAR):
```
LiMg2Cu4Ag
1.0
-1.490 -0.726 3.897
1.782 -3.841 -0.034
5.408 2.487 2.531
Ag Cu Li Mg
1 4 1 2
Cartesian
2.704 1.244 1.266
0.539 0.228 2.549
2.175 -1.330 0.584
3.379 1.534 3.879
5.015 -0.024 1.913
0.146 -2.283 1.931
0.000 0.000 0.000
2.850 -1.040 3.197
```

## Properties
The value obtained for the final energy is -23.01 eV per cell. As for the space group: No. 123.

=====

Entry 5:
LiCuNiAg: relaxed, PBE-GGA.

Structure (POSCAR):
```
LiCuNiAg
1.0
0.857 -4.114 -0.052
-2.051 -2.540 -2.646
2.014 -1.685 -3.281
Ag Cu Li Ni
1 1 1 1
Cartesian
0.410 -4.169 -2.990
0.000 0.000 0.000
0.615 -6.254 -4.484
0.205 -2.085 -1.495
```

## Properties
Its offset from the most stable computed form is 0.000 eV per atom. As for the space group: No. 216.

=====

Entry 6:
LiCuNiAg: relaxed, PBE-GGA.

Structure (POSCAR):
```
LiCuNiAg
1.0
0.000 2.965 2.965
2.965 0.000 2.965
2.965 2.965 0.000
Ag Cu Li Ni
1 1 1 1
Cartesian
0.000 0.000 0.000
1.483 1.483 1.483
4.448 4.448 4.448
2.965 2.965 2.965
```

## Properties
Its offset from the most stable computed form is 0.004 eV per atom. As for the space group: No. 216.

=====

Entry 7:
LiCuAgSb: relaxed, PBE-GGA.

Structure (POSCAR):
```
LiCuAgSb
1.0
0.000 3.229 3.229
3.229 0.000 3.229
3.229 3.229 0.000
Ag Cu Li Sb
1 1 1 1
Cartesian
3.229 3.229 3.229
4.843 4.843 4.843
1.614 1.614 1.614
0.000 0.000 0.000
```

## Properties
Its offset from the most stable computed form is 0.000 eV per atom. As for the space group: No. 216.

=====

Entry 8:
Li2Sc2Tl2CuAg: relaxed, PBE-GGA.

Structure (POSCAR):
```
Li2Sc2Tl2CuAg
1.0
4.653 0.000 0.000
0.000 4.653 0.000
0.000 0.000 6.645
Ag Cu Li Sc Tl
1 1 2 2 2
Cartesian
0.000 0.000 0.000
2.327 2.327 3.322
2.327 2.327 0.000
0.000 0.000 3.322
0.000 2.327 1.733
2.327 0.000 4.912
2.327 0.000 1.728
0.000 2.327 4.917
```

## Properties
The value obtained for the final energy is -29.60 eV per cell. As for the space group: No. 115.

=====

Entry 9:
LiCuSiAg: relaxed, PBE-GGA.

Structure (POSCAR):
```
LiCuSiAg
1.0
1.945 -2.406 2.961
-0.182 1.123 4.129
-2.332 -2.314 2.748
Ag Cu Li Si
1 1 1 1
Cartesian
0.000 0.000 0.000
-0.142 -0.899 2.459
-0.427 -2.698 7.378
-0.284 -1.799 4.919
```

## Properties
Its offset from the most stable computed form is 0.070 eV per atom. As for the space group: No. 216.

=====

Entry 10:
Li4CuSi2Ag: relaxed, PBE-GGA.

Structure (POSCAR):
```
Li4CuSi2Ag
1.0
-1.865 1.919 -3.201
-1.099 -3.702 -1.579
-5.145 0.197 3.116
Ag Cu Li Si
1 1 4 2
Cartesian
-1.482 -0.892 -2.390
-2.572 0.099 1.558
0.000 0.000 0.000
-2.295 1.012 -0.776
-4.054 -0.793 -0.832
-4.332 -1.706 1.502
-1.937 -1.798 0.051
-4.689 1.104 0.675
```

## Properties
The value obtained for the final energy is -27.14 eV per cell. As for the space group: No. 115.

=====

Entry 11:
LiCuSiAg: relaxed, PBE-GGA.

Structure (POSCAR):
```
LiCuSiAg
1.0
-3.356 -1.365 2.244
-3.839 -0.233 -1.836
-1.728 -3.801 -0.850
Ag Cu Li Si
1 1 1 1
Cartesian
-2.231 -1.350 -0.110
-6.692 -4.050 -0.331
-4.461 -2.700 -0.221
0.000 0.000 0.000
```

## Properties
Its offset from the most stable computed form is 0.000 eV per atom. As for the space group: No. 216.

=====

Entry 12:
Li4CuAgSn2: relaxed, PBE-GGA.

Structure (POSCAR):
```
Li4CuAgSn2
1.0
4.524 0.000 0.000
0.000 4.524 0.000
0.000 0.000 6.464
Ag Cu Li Sn
1 1 4 2
Cartesian
0.000 0.000 0.000
2.262 2.262 3.232
2.262 2.262 0.000
2.262 0.000 1.666
0.000 0.000 3.232
0.000 2.262 4.798
0.000 2.262 1.719
2.262 0.000 4.745
```

## Properties
The value obtained for the final energy is -24.98 eV per cell. As for the space group: No. 115.

=====

Number 1: volume 135.8 Å³ per cell. Number 2: volume 92.7 Å³ per cell. Number 3: volume 110.2 Å³ per cell. Number 4: volume 116.0 Å³ per cell. Number 5: volume 52.5 Å³ per cell. Number 6: volume 52.1 Å³ per cell. Number 7: volume 67.3 Å³ per cell. Number 8: volume 143.9 Å³ per cell. Number 9: volume 55.5 Å³ per cell. Number 10: volume 104.8 Å³ per cell. Number 11: volume 54.7 Å³ per cell. Number 12: volume 132.3 Å³ per cell.